VASP calculation (PBE with a Hubbard U) on a relaxed Ba2CaYCo8O14 crystal.

The structure in extended XYZ format:
```
26
Lattice="-3.4390 -5.3752 -0.2028 2.9190 -5.6043 -0.9123 1.0981 -1.2115 10.2318" Properties=species:S:1:pos:R:3 pbc="T T T"
O -0.8303 -3.8031 7.8836
O -1.3014 -5.2386 4.7931
Co -1.4604 -4.8198 2.8930
Ca 0.5157 -4.4426 6.0557
Co 1.7150 -4.9342 2.5386
O 0.3010 -11.8603 6.5266
Ba 0.2026 -7.6132 4.2736
O 2.2730 -3.9149 7.5373
O 0.5249 -6.6629 6.8550
Co 2.1480 -7.5135 7.4455
O 0.4712 -2.3577 4.9844
Ba -0.1771 -3.7840 -0.3652
Co -0.9847 -7.4006 7.7951
O -0.2556 -11.2493 1.3415
O 1.9489 -5.3558 4.4304
Co 0.4617 -10.0974 7.3980
Y -0.2057 -7.4525 0.5629
Co 0.0595 -0.0917 0.5632
O -0.4351 -9.1992 -0.9291
O 1.4815 -8.5525 1.5035
O -1.7183 -8.4372 1.8606
O -0.7620 -7.3427 9.7666
Co 0.2586 -2.2080 3.0305
O 0.0198 -5.7914 2.0477
O 2.3695 -7.4556 9.4172
Co 0.0936 -11.5756 4.5763
```

Calculated values
space-group type = Cm
VASP energy = -166.71 eV/cell